(1)
Below is an optimized crystal structure of Pm2TlP2N6, with properties calculated at the PBE level.

Computed properties:
As for the formation energy (no corrections): -5.9 eV/f.u. The calculation puts the total magnetization at 0.88 μB per formula unit. The calculation puts the density of states at the Fermi level at 4.7 states/eV per cell. Its space group is C2/m, No. 12.

Cell lengths 6.5050, 6.5050, 6.6198 Å; angles 116.13, 116.13, 60.34 degrees
With the nearest neighbours (Å) after each atom.
Sites, in units of the cell vectors:
Pm (0.1771, 0.1771, 0.3035)  4 N 2.34-2.47
Pm (0.8229, 0.8229, 0.6965)  4 N 2.34-2.47
Tl (0.5000, 0.5000, 0.0000)  8 N 3.22-3.56, 2 P 3.34
P (0.1565, 0.1565, 0.7460)  3 N 1.57-1.58
P (0.8435, 0.8435, 0.2540)  3 N 1.57-1.58
N (0.9998, 0.4014, 0.6674)  1 P 1.58
N (0.0002, 0.5986, 0.3326)  1 P 1.58
N (0.0707, 0.0707, 0.8730)  1 P 1.57
N (0.4014, 0.9998, 0.6674)  1 P 1.58
N (0.5986, 0.0002, 0.3326)  1 P 1.58
N (0.9293, 0.9293, 0.1270)  1 P 1.57



(2)
Below is an optimized crystal structure of PmUPN2, with properties calculated at the PBE level.

Computed properties:
As for the formation energy (no corrections): -6.3 eV/f.u. The calculation puts the total magnetization at 0.00 μB per formula unit. The calculation puts the density of states at the Fermi level at 0.3 states/eV per cell. Its space group is I4mm, No. 107.

Cell lengths 6.5611, 6.5611, 6.5611 Å; angles 146.38, 146.38, 48.28 degrees
With the nearest neighbours (Å) after each atom.
Sites, in units of the cell vectors:
Pm (0.0000, 0.0000, 0.0000)  4 N 2.36
U (0.2995, 0.2995, 0.0000)  4 N 2.14
P (0.6594, 0.6594, 0.0000)  4 U 3.16, 4 N 3.27, 4 Pm 3.29
N (0.3821, 0.8821, 0.5000)  2 U 2.14, 2 Pm 2.36
N (0.8821, 0.3821, 0.5000)  2 U 2.14, 2 Pm 2.36



(3)
Below is an optimized crystal structure of PmVP2N6, with properties calculated at the PBE level.

Computed properties:
As for the formation energy (no corrections): -6.5 eV/f.u. The calculation puts the total magnetization at 0.00 μB per formula unit. Its space group is C2/c, No. 15.

Cell lengths 7.0844, 7.0844, 5.6651 Å; angles 106.30, 106.30, 89.40 degrees
With the nearest neighbours (Å) after each atom.
Sites, in units of the cell vectors:
Pm (0.1210, 0.8790, 0.7500)  6 N 2.38-2.64
Pm (0.8790, 0.1210, 0.2500)  6 N 2.38-2.64
V (0.2260, 0.7740, 0.2500)  4 N 1.80-1.81
V (0.7740, 0.2260, 0.7500)  4 N 1.80-1.81
P (0.2287, 0.3715, 0.8181)  4 N 1.64-1.67
P (0.3715, 0.2287, 0.3181)  4 N 1.64-1.67
P (0.6285, 0.7713, 0.6819)  4 N 1.64-1.67
P (0.7713, 0.6285, 0.1819)  4 N 1.64-1.67
N (0.0169, 0.2296, 0.7053)  1 P 1.67, 1 V 1.81
N (0.1968, 0.6055, 0.9367)  1 P 1.64, 1 V 1.80
N (0.2296, 0.0169, 0.2053)  1 P 1.67, 1 V 1.81
N (0.2873, 0.3553, 0.5522)  2 P 1.64-1.65
N (0.3553, 0.2873, 0.0522)  2 P 1.64-1.65
N (0.3945, 0.8032, 0.5633)  1 P 1.64, 1 V 1.80
N (0.6055, 0.1968, 0.4367)  1 P 1.64, 1 V 1.80
N (0.6447, 0.7127, 0.9478)  2 P 1.64-1.65
N (0.7127, 0.6447, 0.4478)  2 P 1.64-1.65
N (0.7704, 0.9831, 0.7947)  1 P 1.67, 1 V 1.81
N (0.8032, 0.3945, 0.0633)  1 P 1.64, 1 V 1.80
N (0.9831, 0.7704, 0.2947)  1 P 1.67, 1 V 1.81